Below is a relaxed structure of CaLu2Hf, with properties calculated at the PBE-GGA level.

Geometry as POSCAR:
```
CaLu2Hf
1.0
3.405 0.000 0.000
-1.703 2.949 0.000
0.000 0.000 35.429
Ca Lu Hf
3 6 3
Direct
0.000 0.000 0.000 Ca
0.333 0.667 0.667 Ca
0.667 0.333 0.333 Ca
0.000 0.000 0.095 Lu
0.000 0.000 0.905 Lu
0.333 0.667 0.572 Lu
0.333 0.667 0.761 Lu
0.667 0.333 0.239 Lu
0.667 0.333 0.428 Lu
0.000 0.000 0.500 Hf
0.333 0.667 0.167 Hf
0.667 0.333 0.833 Hf
```

DFT formation energy = 222 meV per atom
final energy = -60.3 eV for the cell shown
N(E_F) = 18.1 states/eV/cell